VASP calculation (PBE-GGA) on a relaxed structure of V4SnSe8.

Structure (POSCAR):
```
V4SnSe8
1.0
-0.091 -3.674 -6.368
5.266 -4.911 -1.486
-1.585 -7.179 -0.079
V Se Sn
4 8 1
direct
0.351 0.351 0.351
0.351 0.947 0.351
0.947 0.351 0.351
0.351 0.351 0.947
0.607 0.607 0.607
0.120 0.639 0.120
0.120 0.120 0.120
0.639 0.120 0.120
0.120 0.120 0.639
0.607 0.180 0.607
0.180 0.607 0.607
0.607 0.607 0.180
0.750 0.750 0.750
```

## Properties
energy relative to the elements, uncorrected = -0.66 eV/atom
total magnetic moment = 4.2 μB/f.u.
space-group type = F-43m

***

VASP calculation (PBE-GGA) on a relaxed structure of V3SnSe.

Structure (POSCAR):
```
V3SnSe
1.0
-3.707 -2.410 0.908
1.730 -3.509 -2.250
1.907 -1.500 3.806
V Se Sn
3 1 1
direct
0.000 0.500 0.000
0.500 0.000 0.000
0.000 0.000 0.500
0.000 0.000 0.000
0.500 0.500 0.500
```

## Properties
energy relative to the elements, uncorrected = 0.44 eV/atom
total magnetic moment = 1.4 μB/f.u.
space-group type = Pm-3m

***

VASP calculation (PBE-GGA) on a relaxed structure of V2SnSe.

Structure (POSCAR):
```
V2SnSe
1.0
0.000 3.212 3.212
3.212 0.000 3.212
3.212 3.212 0.000
Sn V Se
1 2 1
direct
0.500 0.500 0.500
0.750 0.750 0.750
0.250 0.250 0.250
0.000 0.000 0.000
```

## Properties
energy relative to the elements, uncorrected = 0.18 eV/atom
total magnetic moment = 0.2 μB/f.u.
space-group type = Fm-3m

***

VASP calculation (PBE-GGA) on a relaxed structure of VSn2Se.

Structure (POSCAR):
```
VSn2Se
1.0
6.750 0.000 0.000
0.000 6.750 0.000
3.375 3.375 5.457
V Sn Se
2 4 2
direct
0.250 0.750 0.500
0.500 0.500 0.000
0.621 0.125 0.250
0.129 0.625 0.250
0.875 0.871 0.750
0.375 0.379 0.750
0.750 0.250 0.500
0.000 0.000 0.000
```

## Properties
energy relative to the elements, uncorrected = 0.49 eV/atom
total magnetic moment = 3.0 μB/f.u.
space-group type = I-42d

***

- Number 3 is which compound?
  V2SnSe

***

- Look up the total magnetic moment of the fourth one.
  3.0 μB/f.u.

***

- What is the energy relative to the elements, uncorrected in the fourth record?
  0.49 eV/atom